Density functional theory data (PBEsol) for CeGaRh after structural relaxation.

a b c (Å): 4.4807 6.6291 7.4373
angles (deg): 90.00 90.00 90.00
Sites, in units of the cell vectors:
Rh 0.7500 0.9412 0.1386
Rh 0.2500 0.0588 0.8614
Rh 0.7500 0.5588 0.6386
Rh 0.2500 0.4412 0.3614
Ga 0.7500 0.8841 0.8063
Ga 0.2500 0.3841 0.6937
Ga 0.7500 0.6159 0.3063
Ga 0.2500 0.1159 0.1937
Ce 0.2500 0.8371 0.5215
Ce 0.7500 0.3371 0.9785
Ce 0.2500 0.6629 0.0215
Ce 0.7500 0.1629 0.4785

## Properties
Energy of formation from the pure elements   -2.35 eV/f.u.
Total moment   0.00 μB per formula unit